1.
Below is a geometry-optimized Ba2ZrInS5 structure, with properties calculated at the PBE-GGA level.

a b c (Å): 4.0884 18.0229 12.9652
angles (deg): 90.00 90.00 90.00
With the nearest neighbours (Å) after each atom.
Space group Cmc2_1 (No. 36)
Unique sites:
Ba 0.0000 0.1178 0.0000 (multiplicity 4)  7 S 3.12-3.48
Ba 0.0000 0.1388 0.6176 (multiplicity 4)  8 S 3.16-3.54
Zr 0.0000 0.2142 0.3308 (multiplicity 4)  5 S 2.48-2.75
In 0.0000 0.4507 0.7580 (multiplicity 4)  4 S 2.43-2.65
S 0.0000 0.0584 0.3684 (multiplicity 4)  2 In 2.50
S 0.0000 0.2889 0.9610 (multiplicity 4)  2 Zr 2.65
S 0.0000 0.3114 0.6934 (multiplicity 4)  1 In 2.65, 2 Zr 2.75
S 0.0000 0.3512 0.3142 (multiplicity 4)  1 Zr 2.48
S 0.0000 0.4951 0.0863 (multiplicity 4)  1 In 2.43

Summary:
Theoretical density ... 4.5 g cm⁻³
Raw formation energy ... -145.5 kJ/mol of atoms
D(E_F) ... 3.7 states/eV/f.u.


2.
Below is a geometry-optimized BaIn2Sb structure, with properties calculated at the PBE-GGA level.

a b c (Å): 4.9331 4.9331 10.6487
angles (deg): 90.00 90.00 90.00
With the nearest neighbours (Å) after each atom.
Space group I4/mmm (No. 139)
Unique sites:
Ba 0.0000 0.0000 0.0000 (multiplicity 2)  4 Sb 3.49, 8 In 3.63
In 0.0000 0.5000 0.2500 (multiplicity 4)  4 In 3.49, 4 Ba 3.63, 4 Sb 3.63
Sb 0.0000 0.0000 0.5000 (multiplicity 2)  4 Ba 3.49, 8 In 3.63

Summary:
Theoretical density ... 6.3 g cm⁻³
Raw formation energy ... -31.0 kJ/mol of atoms
D(E_F) ... 3.2 states/eV/f.u.


3.
Below is a geometry-optimized BaIn2Sb structure, with properties calculated at the PBE-GGA level.

a b c (Å): 6.8881 12.5295 3.6855
angles (deg): 90.00 122.04 90.00
With the nearest neighbours (Å) after each atom.
Space group C2/m (No. 12)
Unique sites:
Ba 0.0000 0.0000 0.0000 (multiplicity 2)  4 Sb 3.44-3.46, 4 In 3.57, 2 Ba 3.69
In 0.2500 0.2500 0.0000 (multiplicity 4)  6 In 3.44-3.69, 2 Ba 3.57, 2 Sb 3.57
Sb 0.0000 0.5000 0.0000 (multiplicity 2)  4 Ba 3.44-3.46, 4 In 3.57, 2 Sb 3.69

Summary:
Theoretical density ... 6.0 g cm⁻³
Raw formation energy ... -24.2 kJ/mol of atoms
D(E_F) ... 1.9 states/eV/f.u.


4.
Below is a geometry-optimized Ba5In4Sb6 structure, with properties calculated at the PBE-GGA level.

a b c (Å): 14.5428 18.6503 8.4213
angles (deg): 90.00 90.00 90.00
With the nearest neighbours (Å) after each atom.
Space group Pmmn (No. 59, origin choice 2)
Unique sites:
Ba 0.0858 0.0006 0.2400 (multiplicity 8)  6 Sb 3.50-3.67
Ba 0.0995 0.2500 0.2630 (multiplicity 4)  4 In 3.46-3.49, 4 Sb 3.63-3.64
Ba 0.2500 0.2500 0.7099 (multiplicity 2)  4 In 3.47, 6 Sb 3.68-3.74
Ba 0.2500 0.5019 0.7388 (multiplicity 4)  6 Sb 3.54-3.61
Ba 0.2500 0.7500 0.0717 (multiplicity 2)  6 Sb 3.67-3.70
In 0.0658 0.1682 0.8984 (multiplicity 8)  3 Sb 2.88-3.10, 1 In 3.05
In 0.0950 0.6716 0.5662 (multiplicity 8)  3 Sb 2.86-3.02, 1 In 2.92
Sb 0.0792 0.1173 0.5759 (multiplicity 8)  2 In 2.88-2.98
Sb 0.0861 0.6205 0.9061 (multiplicity 8)  2 In 2.89-3.02
Sb 0.2500 0.1250 0.0575 (multiplicity 4)  2 In 3.10
Sb 0.2500 0.6165 0.3967 (multiplicity 4)  2 In 2.86

Summary:
Theoretical density ... 5.5 g cm⁻³
Raw formation energy ... -71.7 kJ/mol of atoms


5.
Below is a geometry-optimized BaIn2Sb structure, with properties calculated at the PBE-GGA level.

a b c (Å): 4.1733 4.1733 7.4561
angles (deg): 90.00 90.00 90.00
With the nearest neighbours (Å) after each atom.
Space group P4mm (No. 99)
Unique sites:
Ba 0.0000 0.0000 0.0000 (multiplicity 1)  6 In 3.65-3.80, 4 Sb 3.66
In 0.0000 0.0000 0.5098 (multiplicity 1)  4 In 3.30, 4 Sb 3.31, 1 Ba 3.65
In 0.5000 0.5000 0.3114 (multiplicity 1)  1 Sb 2.97, 4 In 3.30
Sb 0.5000 0.5000 0.7096 (multiplicity 1)  5 In 2.97-3.31

Summary:
Theoretical density ... 6.2 g cm⁻³
Raw formation energy ... -36.5 kJ/mol of atoms
D(E_F) ... 1.8 states/eV/f.u.


6.
Below is a geometry-optimized Ba2InSb structure, with properties calculated at the PBE-GGA level.

a b c (Å): 8.5110 8.5110 8.5110
angles (deg): 90.00 90.00 90.00
With the nearest neighbours (Å) after each atom.
Space group Fm-3m (No. 225)
Unique sites:
Ba 0.2500 0.2500 0.2500 (multiplicity 8)  4 Sb 3.69, 4 In 3.69
In 0.0000 0.0000 0.0000 (multiplicity 4)  8 Ba 3.69
Sb 0.0000 0.0000 0.5000 (multiplicity 4)  8 Ba 3.69

Summary:
Theoretical density ... 5.5 g cm⁻³
Distance to the lowest polymorph of the same formula ... 0.133 eV per atom
Raw formation energy ... -57.8 kJ/mol of atoms
D(E_F) ... 4.0 states/eV/f.u.


7.
Below is a geometry-optimized BaIn2Sb structure, with properties calculated at the PBE-GGA level.

a b c (Å): 5.0326 5.0326 10.2242
angles (deg): 90.00 90.00 90.00
With the nearest neighbours (Å) after each atom.
Space group I-4m2 (No. 119)
Unique sites:
Ba 0.0000 0.0000 0.0000 (multiplicity 2)  8 In 3.56-3.59, 4 Sb 3.59
In 0.0000 0.0000 0.5000 (multiplicity 2)  4 Ba 3.56, 4 In 3.59, 4 Sb 3.59
In 0.0000 0.5000 0.7500 (multiplicity 2)  4 Sb 3.56, 4 Ba 3.59, 4 In 3.59
Sb 0.0000 0.5000 0.2500 (multiplicity 2)  8 In 3.56-3.59, 4 Ba 3.59

Summary:
Theoretical density ... 6.3 g cm⁻³
Raw formation energy ... -34.3 kJ/mol of atoms
D(E_F) ... 2.8 states/eV/f.u.


8.
Below is a geometry-optimized BaIn4Sb2 structure, with properties calculated at the PBE-GGA level.

a b c (Å): 5.2371 6.5987 7.5331
angles (deg): 84.11 69.70 66.62
With the nearest neighbours (Å) after each atom.
Space group P-1 (No. 2)
Unique sites:
Ba 0.0000 0.0000 0.0000 (multiplicity 1)  6 Sb 3.67-3.91, 2 In 3.73
In 0.1989 0.1168 0.4850 (multiplicity 2)  1 Sb 2.88, 2 In 2.99
In 0.4535 0.3871 0.7036 (multiplicity 2)  3 Sb 3.09-3.22, 4 In 3.24-3.43
Sb 0.2265 0.3890 0.1594 (multiplicity 2)  4 In 2.88-3.22

Summary:
Theoretical density ... 6.2 g cm⁻³
Raw formation energy ... -25.9 kJ/mol of atoms
D(E_F) ... 2.3 states/eV/f.u.


9.
Below is a geometry-optimized BaIn2Sb structure, with properties calculated at the PBE-GGA level.

a b c (Å): 4.1043 4.1043 7.6378
angles (deg): 90.00 90.00 90.00
With the nearest neighbours (Å) after each atom.
Space group P4/mmm (No. 123)
Unique sites:
Ba 0.0000 0.0000 0.0000 (multiplicity 1)  8 In 3.71, 2 Sb 3.82, 4 Ba 4.10
In 0.5000 0.5000 0.3033 (multiplicity 2)  1 In 3.00, 4 Sb 3.27
Sb 0.0000 0.0000 0.5000 (multiplicity 1)  8 In 3.27

Summary:
Theoretical density ... 6.3 g cm⁻³
Raw formation energy ... -31.7 kJ/mol of atoms
D(E_F) ... 2.2 states/eV/f.u.


10.
Below is a geometry-optimized BaIn4Sb structure, with properties calculated at the PBE-GGA level.

a b c (Å): 9.0373 9.0373 9.0373
angles (deg): 90.00 90.00 90.00
With the nearest neighbours (Å) after each atom.
Space group F-43m (No. 216)
Unique sites:
Ba 0.0000 0.0000 0.0000 (multiplicity 4)  12 In 3.75, 4 Sb 3.91
In 0.1241 0.1241 0.6241 (multiplicity 16)  6 In 3.17-3.22
Sb 0.2500 0.2500 0.2500 (multiplicity 4)  12 In 3.74, 4 Ba 3.91

Summary:
Theoretical density ... 6.5 g cm⁻³
Raw formation energy ... -14.0 kJ/mol of atoms
D(E_F) ... 5.9 states/eV/f.u.


11.
Below is a geometry-optimized Ba3InSb structure, with properties calculated at the PBE-GGA level.

a b c (Å): 6.6332 6.6332 6.6332
angles (deg): 90.00 90.00 90.00
With the nearest neighbours (Å) after each atom.
Space group Pm-3m (No. 221)
Unique sites:
Ba 0.0000 0.0000 0.5000 (multiplicity 3)  2 Sb 3.32
In 0.5000 0.5000 0.5000 (multiplicity 1)  12 Ba 4.69
Sb 0.0000 0.0000 0.0000 (multiplicity 1)  6 Ba 3.32

Summary:
Theoretical density ... 3.7 g cm⁻³
Distance to the lowest polymorph of the same formula ... 0.284 eV per atom
Raw formation energy ... -33.8 kJ/mol of atoms
D(E_F) ... 3.4 states/eV/f.u.


12.
Below is a geometry-optimized Ba3InSb structure, with properties calculated at the PBE-GGA level.

a b c (Å): 4.8670 9.2969 10.2140
angles (deg): 84.97 88.56 78.08
With the nearest neighbours (Å) after each atom.
Space group P-1 (No. 2)
Unique sites:
Ba 0.0622 0.3986 0.1618 (multiplicity 2)  4 Sb 3.61-4.02, 1 Ba 3.66, 1 In 3.77
Ba 0.2349 0.0256 0.8246 (multiplicity 2)  3 Sb 3.56-3.64, 2 In 3.67-3.82
Ba 0.3420 0.7056 0.4160 (multiplicity 2)  3 In 3.49-3.60, 1 Sb 3.51
In 0.2312 0.0871 0.4274 (multiplicity 2)  2 In 3.11-3.29, 1 Ba 3.49
Sb 0.3835 0.7168 0.0717 (multiplicity 2)  7 Ba 3.51-3.66

Summary:
Theoretical density ... 4.8 g cm⁻³
Distance to the lowest polymorph of the same formula ... 0.000 eV per atom
Raw formation energy ... -61.2 kJ/mol of atoms
D(E_F) ... 3.2 states/eV/f.u.